# 1
DFT (PBE-GGA) results for a relaxed structure of ScZnGa2Cu.

Summary:
Energy relative to the elements, eV per formula unit: 2.24
D(E_F), states/eV/cell: 2.66

```
data_ScZnGa2Cu
_chemical_formula_sum 'Sc1 Zn1 Ga2 Cu1'
_cell_length_a 4.608
_cell_length_b 4.608
_cell_length_c 5.092
_cell_angle_alpha 90.00
_cell_angle_beta 90.00
_cell_angle_gamma 90.00
_symmetry_space_group_name_H-M 'P 4/m m m'
_symmetry_Int_Tables_number 123
_symmetry_space_group_name_Hall '-P 4 2'
loop_
_atom_site_label
_atom_site_fract_x
_atom_site_fract_y
_atom_site_fract_z
_atom_site_occupancy
Sc1 0.000 0.000 0.000 1
Zn1 0.000 0.000 0.500 1
Ga1 0.000 0.500 0.500 1
Cu1 0.500 0.500 0.000 1
```

=====

# 2
DFT (PBE-GGA) results for a relaxed structure of Ba2AlZn.

Summary:
Energy relative to the elements, eV per formula unit: 0.26
D(E_F), states/eV/cell: 6.72

```
data_Ba2AlZn
_chemical_formula_sum 'Ba4 Al2 Zn2'
_cell_length_a 5.086
_cell_length_b 5.086
_cell_length_c 10.312
_cell_angle_alpha 90.00
_cell_angle_beta 90.00
_cell_angle_gamma 90.00
_symmetry_space_group_name_H-M 'I -4 m 2'
_symmetry_Int_Tables_number 119
_symmetry_space_group_name_Hall 'I -4 -2'
loop_
_atom_site_label
_atom_site_fract_x
_atom_site_fract_y
_atom_site_fract_z
_atom_site_occupancy
Ba1 0.000 0.000 0.000 1
Ba2 0.000 0.500 0.250 1
Al1 0.000 0.000 0.500 1
Zn1 0.000 0.500 0.750 1
```

=====

# 3
DFT (PBE-GGA) results for a relaxed structure of Zr2Sn2Te.

Summary:
Energy above the lowest structure with this stoichiometry, meV per atom: 79.9
D(E_F), states/eV/cell: 2.26
Raw formation energy, meV per atom: -358

```
data_Zr2Sn2Te
_chemical_formula_sum 'Zr4 Sn4 Te2'
_cell_length_a 4.040
_cell_length_b 4.040
_cell_length_c 15.264
_cell_angle_alpha 90.00
_cell_angle_beta 90.00
_cell_angle_gamma 90.00
_symmetry_space_group_name_H-M 'I 4/m m m'
_symmetry_Int_Tables_number 139
_symmetry_space_group_name_Hall '-I 4 2'
loop_
_atom_site_label
_atom_site_fract_x
_atom_site_fract_y
_atom_site_fract_z
_atom_site_occupancy
Zr1 0.000 0.000 0.101 1
Sn1 0.000 0.500 0.250 1
Te1 0.000 0.000 0.500 1
```

=====

For each record above, in turn, the calculated energy values are -3.104; -2.151; -6.006 eV per atom.